This record from the Open Quantum Materials Database describes an optimized crystal structure of DyHo2ErAl2. The functional is GGA-PBE.

Output
Calculated density ... 7.6 g/cm3
Raw total energy ... -4.576 eV per atom
Total moment ... 0.0 μB/cell
Space group ... P-6m2

Structure (POSCAR):
```
DyHo2ErAl2
1.0
-1.1882 2.6626 4.3207
-0.4428 -5.1932 -0.0656
6.2520 -0.5591 2.0638
Al Dy Er Ho
2 1 1 2
Direct
0.3333 0.6667 0.0000 Al
0.0000 0.0000 0.5000 Al
0.0000 0.0000 0.0000 Dy
0.3333 0.6667 0.5000 Er
0.6667 0.3333 0.2511 Ho
0.6667 0.3333 0.7489 Ho
```

This record from the Open Quantum Materials Database describes an optimized crystal structure of Ta4Nb2Al3N3. The functional is GGA-PBE.

Output
Calculated density ... 10.2 g/cm3
Raw total energy ... -9.327 eV per atom
Total moment ... 0.0 μB/cell
Space group ... C2/c

Structure (POSCAR):
```
Ta4Nb2Al3N3
1.0
-3.8723 -1.8641 -2.9050
0.4895 -4.6062 -2.3350
-4.4499 -4.3064 13.3351
Al N Nb Ta
6 6 4 8
Direct
0.4153 0.2472 0.2496 Al
0.0779 0.9221 0.2500 Al
0.7528 0.5847 0.2504 Al
0.2472 0.4153 0.7496 Al
0.9221 0.0779 0.7500 Al
0.5847 0.7528 0.7504 Al
0.6698 0.1600 0.0000 N
0.0000 0.5000 0.0000 N
0.3302 0.8400 0.0000 N
0.1600 0.6698 0.5000 N
0.5000 0.0000 0.5000 N
0.8400 0.3302 0.5000 N
0.3663 0.5330 0.0966 Nb
0.4670 0.6337 0.4034 Nb
0.5330 0.3663 0.5966 Nb
0.6337 0.4670 0.9034 Nb
0.0291 0.2003 0.0944 Ta
0.6975 0.8640 0.0944 Ta
0.1360 0.3025 0.4056 Ta
0.7997 0.9709 0.4056 Ta
0.2003 0.0291 0.5944 Ta
0.8640 0.6975 0.5944 Ta
0.3025 0.1360 0.9056 Ta
0.9709 0.7997 0.9056 Ta
```

This record from the Open Quantum Materials Database describes an optimized crystal structure of KAs5Pt3. The functional is GGA-PBE.

Output
Calculated density ... 7.5 g/cm3
Raw total energy ... -4.831 eV per atom
Total moment ... 0.2 μB/cell
Space group ... P6/mmm

Structure (POSCAR):
```
KAs5Pt3
1.0
-0.6542 -4.2595 -3.9225
4.4889 3.6910 -0.4283
4.1845 -4.5915 4.2880
As K Pt
5 1 3
Direct
0.6667 0.3333 0.2479 As
0.3333 0.6667 0.2479 As
0.0000 0.0000 0.5000 As
0.6667 0.3333 0.7521 As
0.3333 0.6667 0.7521 As
0.0000 0.0000 0.0000 K
0.5000 0.0000 0.5000 Pt
0.0000 0.5000 0.5000 Pt
0.5000 0.5000 0.5000 Pt
```